[1]
Here is a relaxed structure of AcGd2Mg from Alexandria via LeMat-Bulk. Energies are from PBE.

a b c (Å): 3.801 3.801 9.148
angles (deg): 90.00 90.00 90.00
Site moments in Bohr magnetons follow the coordinates.
Fractional coordinates of all 4 atoms:
Ac1 0.500 0.500 0.500  0.02
Gd1 0.000 0.000 0.213  7.18
Gd2 0.000 0.000 0.787  7.18
Mg1 0.500 0.500 0.000  -0.01

Calculated values
E: -33.96 eV/cell
SG: No. 123
Fermi-level density of states: 5.10 states/eV/f.u.
formation energy: -0.0242 eV per atom

---

[2]
Here is a relaxed structure of AcGdMg2 from Alexandria via LeMat-Bulk. Energies are from PBE.

a b c (Å): 3.958 3.958 8.000
angles (deg): 90.00 90.00 90.00
Site moments in Bohr magnetons follow the coordinates.
Fractional coordinates of all 4 atoms:
Gd1 0.500 0.500 0.000  7.20
Mg1 0.000 0.000 0.221  0.00
Mg2 0.000 0.000 0.779  0.00
Ac1 0.500 0.500 0.500  -0.04

Calculated values
E: -21.71 eV/cell
SG: No. 123
Fermi-level density of states: 4.85 states/eV/f.u.
formation energy: -0.0826 eV per atom

---

- What is the E in the second record?
  -21.71 eV/cell